[1]
# K2FeCl2, PBEsol geometry, DFT SCAN
# Space group   I4/mmm
# Uncorrected formation energy   -848.5 meV per atom
data_K2FeCl2
_chemical_formula_sum 'K2 Fe1 Cl2'
_symmetry_space_group_name_H-M 'P 1'
_symmetry_Int_Tables_number 1
_cell_length_a 6.068
_cell_length_b 6.068
_cell_length_c 6.068
_cell_angle_alpha 118.42
_cell_angle_beta 118.42
_cell_angle_gamma 92.76
loop_
_symmetry_equiv_pos_as_xyz
'x,y,z'
loop_
_atom_site_label
_atom_site_type_symbol
_atom_site_fract_x
_atom_site_fract_y
_atom_site_fract_z
_atom_site_occupancy
K1 K 0.250 0.750 0.500 1
K2 K 0.750 0.250 0.500 1
Fe1 Fe 0.000 0.000 0.000 1
Cl1 Cl 0.256 0.256 0.000 1
Cl2 Cl 0.744 0.744 0.000 1

[2]
# SrAg2Os, PBEsol geometry, DFT SCAN
# Space group   P4/mmm
# Formation energy from the elements   726 meV/atom
data_SrAg2Os
_chemical_formula_sum 'Sr1 Ag2 Os1'
_symmetry_space_group_name_H-M 'P 1'
_symmetry_Int_Tables_number 1
_cell_length_a 3.439
_cell_length_b 3.439
_cell_length_c 6.757
_cell_angle_alpha 90.00
_cell_angle_beta 90.00
_cell_angle_gamma 90.00
loop_
_symmetry_equiv_pos_as_xyz
'x,y,z'
loop_
_atom_site_label
_atom_site_type_symbol
_atom_site_fract_x
_atom_site_fract_y
_atom_site_fract_z
_atom_site_occupancy
Sr1 Sr 0.000 0.000 0.000 1
Ag1 Ag 0.500 0.500 0.304 1
Ag2 Ag 0.500 0.500 0.696 1
Os1 Os 0.000 0.000 0.500 1

[3]
# MgIrC3, PBEsol geometry, DFT SCAN
# Space group   Pm-3m
# Formation energy from the elements   3450 meV/atom
data_MgIrC3
_chemical_formula_sum 'Mg1 Ir1 C3'
_symmetry_space_group_name_H-M 'P 1'
_symmetry_Int_Tables_number 1
_cell_length_a 3.896
_cell_length_b 3.896
_cell_length_c 3.896
_cell_angle_alpha 90.00
_cell_angle_beta 90.00
_cell_angle_gamma 90.00
loop_
_symmetry_equiv_pos_as_xyz
'x,y,z'
loop_
_atom_site_label
_atom_site_type_symbol
_atom_site_fract_x
_atom_site_fract_y
_atom_site_fract_z
_atom_site_occupancy
Mg1 Mg 0.000 0.000 0.000 1
Ir1 Ir 0.500 0.500 0.500 1
C1 C 0.000 0.000 0.500 1
C2 C 0.000 0.500 0.000 1
C3 C 0.500 0.000 0.000 1

[4]
# SbTeOs2, PBEsol geometry, DFT SCAN
# Space group   I4/mmm
# Uncorrected formation energy   879.1 meV per atom
data_SbTeOs2
_chemical_formula_sum 'Sb1 Te1 Os2'
_symmetry_space_group_name_H-M 'P 1'
_symmetry_Int_Tables_number 1
_cell_length_a 4.711
_cell_length_b 4.711
_cell_length_c 4.711
_cell_angle_alpha 123.49
_cell_angle_beta 123.49
_cell_angle_gamma 84.06
loop_
_symmetry_equiv_pos_as_xyz
'x,y,z'
loop_
_atom_site_label
_atom_site_type_symbol
_atom_site_fract_x
_atom_site_fract_y
_atom_site_fract_z
_atom_site_occupancy
Sb1 Sb 0.000 0.000 0.000 1
Te1 Te 0.500 0.500 0.000 1
Os1 Os 0.250 0.750 0.500 1
Os2 Os 0.750 0.250 0.500 1

[5]
# ScCd2Sb, PBEsol geometry, DFT SCAN
# Space group   Cm
# Uncorrected formation energy   -265.8 meV per atom
data_ScCd2Sb
_chemical_formula_sum 'Sc1 Cd2 Sb1'
_symmetry_space_group_name_H-M 'P 1'
_symmetry_Int_Tables_number 1
_cell_length_a 5.569
_cell_length_b 5.569
_cell_length_c 5.375
_cell_angle_alpha 110.21
_cell_angle_beta 110.21
_cell_angle_gamma 35.06
loop_
_symmetry_equiv_pos_as_xyz
'x,y,z'
loop_
_atom_site_label
_atom_site_type_symbol
_atom_site_fract_x
_atom_site_fract_y
_atom_site_fract_z
_atom_site_occupancy
Sc1 Sc 0.000 0.000 0.000 1
Cd1 Cd 0.255 0.255 0.596 1
Cd2 Cd 0.505 0.505 0.495 1
Sb1 Sb 0.742 0.742 0.075 1

[6]
# Rb2AuCl, PBEsol geometry, DFT SCAN
# Space group   Fm-3m
# Uncorrected formation energy   -1230.9 meV per atom
data_Rb2AuCl
_chemical_formula_sum 'Rb2 Au1 Cl1'
_symmetry_space_group_name_H-M 'P 1'
_symmetry_Int_Tables_number 1
_cell_length_a 5.628
_cell_length_b 5.628
_cell_length_c 5.628
_cell_angle_alpha 60.00
_cell_angle_beta 60.00
_cell_angle_gamma 60.00
loop_
_symmetry_equiv_pos_as_xyz
'x,y,z'
loop_
_atom_site_label
_atom_site_type_symbol
_atom_site_fract_x
_atom_site_fract_y
_atom_site_fract_z
_atom_site_occupancy
Rb1 Rb 0.250 0.250 0.250 1
Rb2 Rb 0.750 0.750 0.750 1
Au1 Au 0.000 0.000 0.000 1
Cl1 Cl 0.500 0.500 0.500 1

[7]
# Ca2NiIr, PBEsol geometry, DFT SCAN
# Space group   F-43m
# Formation energy from the elements   117 meV/atom
data_Ca2NiIr
_chemical_formula_sum 'Ca2 Ni1 Ir1'
_symmetry_space_group_name_H-M 'P 1'
_symmetry_Int_Tables_number 1
_cell_length_a 4.665
_cell_length_b 4.665
_cell_length_c 4.665
_cell_angle_alpha 60.00
_cell_angle_beta 60.00
_cell_angle_gamma 60.00
loop_
_symmetry_equiv_pos_as_xyz
'x,y,z'
loop_
_atom_site_label
_atom_site_type_symbol
_atom_site_fract_x
_atom_site_fract_y
_atom_site_fract_z
_atom_site_occupancy
Ca1 Ca 0.000 0.000 0.000 1
Ca2 Ca 0.250 0.250 0.250 1
Ni1 Ni 0.500 0.500 0.500 1
Ir1 Ir 0.750 0.750 0.750 1

[8]
# Ba3CaAu, PBEsol geometry, DFT SCAN
# Space group   Pm-3m
# Formation energy from the elements   -348 meV/atom
data_Ba3CaAu
_chemical_formula_sum 'Ba3 Ca1 Au1'
_symmetry_space_group_name_H-M 'P 1'
_symmetry_Int_Tables_number 1
_cell_length_a 6.337
_cell_length_b 6.337
_cell_length_c 6.337
_cell_angle_alpha 90.00
_cell_angle_beta 90.00
_cell_angle_gamma 90.00
loop_
_symmetry_equiv_pos_as_xyz
'x,y,z'
loop_
_atom_site_label
_atom_site_type_symbol
_atom_site_fract_x
_atom_site_fract_y
_atom_site_fract_z
_atom_site_occupancy
Ba1 Ba 0.000 0.000 0.500 1
Ba2 Ba 0.000 0.500 0.000 1
Ba3 Ba 0.500 0.000 0.000 1
Ca1 Ca 0.500 0.500 0.500 1
Au1 Au 0.000 0.000 0.000 1

[9]
# CsLi3Bi, PBEsol geometry, DFT SCAN
# Space group   Pm-3m
# Formation energy from the elements   -275 meV/atom
data_CsLi3Bi
_chemical_formula_sum 'Cs1 Li3 Bi1'
_symmetry_space_group_name_H-M 'P 1'
_symmetry_Int_Tables_number 1
_cell_length_a 5.509
_cell_length_b 5.509
_cell_length_c 5.509
_cell_angle_alpha 90.00
_cell_angle_beta 90.00
_cell_angle_gamma 90.00
loop_
_symmetry_equiv_pos_as_xyz
'x,y,z'
loop_
_atom_site_label
_atom_site_type_symbol
_atom_site_fract_x
_atom_site_fract_y
_atom_site_fract_z
_atom_site_occupancy
Cs1 Cs 0.000 0.000 0.000 1
Li1 Li 0.000 0.500 0.500 1
Li2 Li 0.500 0.000 0.500 1
Li3 Li 0.500 0.500 0.000 1
Bi1 Bi 0.500 0.500 0.500 1

[10]
# CsPaO3, PBEsol geometry, DFT SCAN
# Space group   Pm-3m
# Uncorrected formation energy   -3302.4 meV per atom
data_CsPaO3
_chemical_formula_sum 'Cs1 Pa1 O3'
_symmetry_space_group_name_H-M 'P 1'
_symmetry_Int_Tables_number 1
_cell_length_a 4.405
_cell_length_b 4.405
_cell_length_c 4.405
_cell_angle_alpha 90.00
_cell_angle_beta 90.00
_cell_angle_gamma 90.00
loop_
_symmetry_equiv_pos_as_xyz
'x,y,z'
loop_
_atom_site_label
_atom_site_type_symbol
_atom_site_fract_x
_atom_site_fract_y
_atom_site_fract_z
_atom_site_occupancy
Cs1 Cs 0.000 0.000 0.000 1
Pa1 Pa 0.500 0.500 0.500 1
O1 O 0.000 0.500 0.500 1
O2 O 0.500 0.000 0.500 1
O3 O 0.500 0.500 0.000 1

What did we get for magnetic moment? Answer: 2.34, 0.84, 0.00, 0.00, 0.00, 0.00, 0.56, 0.01, 0.68, 0.00 μB/f.u., in the order shown.
What did we get for calculated volume? Answer: 32.30, 19.98, 11.82, 17.40, 22.31, 31.51, 17.95, 50.89, 33.45, 17.10 Å³ per atom, in the order shown.